First-principles (PBE-GGA) data for crystalline LiCu2AsH at its relaxed geometry, as listed in the Alexandria database.

Unit cell a=3.782 b=3.782 c=3.912 alpha=90.00 beta=90.00 gamma=90.00
Fractional coordinates of all 5 atoms:
Li 0.000 0.000 0.000
Cu 0.000 0.500 0.500
Cu 0.500 0.000 0.500
As 0.500 0.500 0.000
H 0.000 0.000 0.500

Values from the calculation:
**V**: 11.19 A^3/atom
**Size of the total moment**: 0.000 Bohr magnetons per cell
**Symmetry**: P4/mmm, No. 123
**Electronic total energy**: -3.73 eV per atom
**Crystal system**: tetragonal